Ca3GePt | PBE | relaxed

Cell and atoms, written as extended XYZ:
```
5
Lattice="5.437 0.000 0.000 0.000 5.437 0.000 0.000 0.000 5.437" Properties=species:S:1:pos:R:3 pbc="T T T"
Ca 0.000 0.000 2.718
Ca 0.000 2.718 0.000
Ca 2.718 0.000 0.000
Ge 2.718 2.718 2.718
Pt 0.000 0.000 0.000
```

Values from the calculation:
The uncorrected energy comes out at -18.525 eV for the cell shown. The energy above the most stable polymorph in this dataset comes out at 0.0000 eV/atom. For the formation energy, the calculation gives -0.3725 eV per atom. As for the space group: Pm-3m (221).